Density functional theory data (PBE-GGA) for KSr2SnF after structural relaxation.

- formation energy from raw total energies (eV/f.u.) = -6.837
- E (Ha/atom) = -0.126

Structure (POSCAR):
```
KSr2SnF
1.0
5.379 0.000 0.000
0.000 5.379 0.000
0.000 0.000 5.104
K Sr Sn F
1 2 1 1
direct
0.000 0.000 0.000 K
0.000 0.500 0.500 Sr
0.500 0.000 0.500 Sr
0.500 0.500 0.000 Sn
0.000 0.000 0.500 F
```